# 1
Cd3Ag2 at its PBEsol-relaxed geometry, computed with meta-GGA SCAN.

Output
Formation enthalpy at 0 K ... -32 meV per atom
Total magnetization ... 0.001 Bohr magnetons per cell

The structure in CIF format:
```
data_Cd3Ag2
_chemical_formula_sum 'Cd6 Ag4'
_cell_length_a 9.8615
_cell_length_b 3.1481
_cell_length_c 7.2617
_cell_angle_alpha 90.00
_cell_angle_beta 124.99
_cell_angle_gamma 90.00
_space_group_name_H-M_alt 'P 1'
_space_group_IT_number 1
loop_
_space_group_symop_operation_xyz
'x,y,z'
loop_
_atom_site_label
_atom_site_fract_x
_atom_site_fract_y
_atom_site_fract_z
_atom_site_occupancy
Cd1 0.0000 0.0000 0.0000 1
Cd2 0.0982 0.5000 0.4068 1
Cd3 0.4018 0.0000 0.5932 1
Cd4 0.5000 0.5000 0.0000 1
Cd5 0.5982 0.0000 0.4068 1
Cd6 0.9018 0.5000 0.5932 1
Ag1 0.2027 0.0000 0.8069 1
Ag2 0.2973 0.5000 0.1931 1
Ag3 0.7027 0.5000 0.8069 1
Ag4 0.7973 0.0000 0.1931 1
```

# 2
TiAsPb2Se at its PBEsol-relaxed geometry, computed with meta-GGA SCAN.

Output
Formation energy (no corrections) ... 123.7 meV per atom
Total magnetization ... 0.000 Bohr magnetons per cell

The structure in CIF format:
```
data_TiAsPb2Se
_chemical_formula_sum 'Ti1 As1 Pb2 Se1'
_cell_length_a 5.4602
_cell_length_b 5.4602
_cell_length_c 4.6381
_cell_angle_alpha 90.00
_cell_angle_beta 90.00
_cell_angle_gamma 90.00
_space_group_name_H-M_alt 'P 1'
_space_group_IT_number 1
loop_
_space_group_symop_operation_xyz
'x,y,z'
loop_
_atom_site_label
_atom_site_fract_x
_atom_site_fract_y
_atom_site_fract_z
_atom_site_occupancy
Ti1 0.0000 0.0000 0.0000 1
As1 0.0000 0.0000 0.5000 1
Pb1 0.0000 0.5000 0.0000 1
Pb2 0.5000 0.0000 0.0000 1
Se1 0.5000 0.5000 0.5000 1
```

# 3
Cu3BiP at its PBEsol-relaxed geometry, computed with meta-GGA SCAN.

Output
Formation enthalpy at 0 K ... 1296 meV per atom
Total magnetization ... 2.408 Bohr magnetons per cell

The structure in CIF format:
```
data_Cu3BiP
_chemical_formula_sum 'Cu3 Bi1 P1'
_cell_length_a 4.8403
_cell_length_b 4.8403
_cell_length_c 4.8403
_cell_angle_alpha 90.00
_cell_angle_beta 90.00
_cell_angle_gamma 90.00
_space_group_name_H-M_alt 'P 1'
_space_group_IT_number 1
loop_
_space_group_symop_operation_xyz
'x,y,z'
loop_
_atom_site_label
_atom_site_fract_x
_atom_site_fract_y
_atom_site_fract_z
_atom_site_occupancy
Cu1 0.0000 0.0000 0.5000 1
Cu2 0.0000 0.5000 0.0000 1
Cu3 0.5000 0.0000 0.0000 1
Bi1 0.0000 0.0000 0.0000 1
P1 0.5000 0.5000 0.5000 1
```